(A)
OsSeBr2O: optimized geometry, PBE.

Values from the calculation:
- total moment (μB/f.u.) = 0.001
- space group = P4/mmm, No. 123
- volume (Å³/cell) = 120.66
- calculated density (Mg/m³) = 6.1

a b c (Å): 5.0911 5.0911 4.6551
angles (deg): 90.00 90.00 90.00
Element x y z (fractional)
O  0.5000  0.5000  0.5000
Os  0.0000  0.0000  0.0000
Se  0.0000  0.0000  0.5000
Br  0.0000  0.5000  0.0000
Br  0.5000  0.0000  0.0000

(B)
OsSeBr2O: optimized geometry, PBE.

Values from the calculation:
- total moment (μB/f.u.) = 4.084
- space group = P4/mmm, No. 123
- volume (Å³/cell) = 99.10
- calculated density (Mg/m³) = 7.5

a b c (Å): 4.7664 4.7664 4.3620
angles (deg): 90.00 90.00 90.00
Element x y z (fractional)
O  0.0000  0.0000  0.0000
Os  0.5000  0.5000  0.5000
Se  0.0000  0.0000  0.5000
Br  0.0000  0.5000  0.0000
Br  0.5000  0.0000  0.0000

Ranking the structures above by stability puts (A) first and (B) last.